# K2BaCrCd PBE-GGA relaxed
# - Raw total energy: -1.8204 eV/atom
# - Energy of formation from the pure elements: 5.554 eV/f.u.
# - Total magnetic moment: 0.9549 μB per atom
data_K2BaCrCd
_chemical_formula_sum 'K2 Ba1 Cr1 Cd1'
_symmetry_space_group_name_H-M 'P 4/m m m'
_symmetry_Int_Tables_number 123
_symmetry_space_group_name_Hall '-P 4 2'
_cell_length_a 7.6977
_cell_length_b 7.6977
_cell_length_c 6.3972
_cell_angle_alpha 90.00
_cell_angle_beta 90.00
_cell_angle_gamma 90.00
loop_
_atom_site_label
_atom_site_fract_x
_atom_site_fract_y
_atom_site_fract_z
_atom_site_occupancy
K1 0.0000 0.5000 0.0000 1
Ba1 0.0000 0.0000 0.0000 1
Cr1 0.5000 0.5000 0.5000 1
Cd1 0.0000 0.0000 0.5000 1